Below is Li2HoMg9 after structural relaxation, with properties calculated at the PBE level.

As for the density: 2.38 g/cm3. The total magnetization is 0.000 μB per formula unit. For the uncorrected energy, the calculation gives -1.93 eV per atom.

The structure belongs to space group P4/mmm (No. 123); the cell edges are 4.516, 4.516 and 13.601 Å and the angles 90.00°, 90.00° and 90.00°. The distinct sites, in fractional coordinates, are Li at (0.000, 0.000, 0.167), Ho at (0.000, 0.000, 0.500), Mg at (0.000, 0.500, 0.000), Mg at (0.000, 0.500, 0.323), Mg at (0.500, 0.500, 0.157) and Mg at (0.500, 0.500, 0.500).

---

Below is LiHo2Mg after structural relaxation, with properties calculated at the PBE level.

As for the density: 5.75 g/cm3. The total magnetization is 0.000 μB per formula unit. The relative energy among the computed polymorphs comes out at 0.0 meV/atom.

The structure belongs to space group P4/mmm (No. 123); the cell edges are 3.743, 3.743 and 7.448 Å and the angles 90.00°, 90.00° and 90.00°. The distinct sites, in fractional coordinates, are Li at (0.000, 0.000, 0.000), Ho at (0.500, 0.500, 0.250) and Mg at (0.000, 0.000, 0.500).

---

Below is Li4HoMg after structural relaxation, with properties calculated at the PBE level.

As for the density: 2.83 g/cm3. The total magnetization is 0.000 μB per formula unit. For the uncorrected energy, the calculation gives -2.27 eV per atom.

The structure belongs to space group F-43m (No. 216); the cell edges are 7.982, 7.982 and 7.982 Å and the angles 90.00°, 90.00° and 90.00°. The distinct sites, in fractional coordinates, are Li at (0.124, 0.124, 0.376), Ho at (0.000, 0.000, 0.000) and Mg at (0.250, 0.250, 0.750).

---

Below is LiHoMg after structural relaxation, with properties calculated at the PBE level.

As for the density: 4.44 g/cm3. The total magnetization is 0.302 μB per formula unit. The relative energy among the computed polymorphs comes out at 81.5 meV/atom.

The structure belongs to space group I4mm (No. 107); the cell edges are 3.528, 3.528 and 11.796 Å and the angles 90.00°, 90.00° and 90.00°. The distinct sites, in fractional coordinates, are Li at (0.000, 0.000, 0.000), Ho at (0.000, 0.000, 0.684) and Mg at (0.000, 0.000, 0.373).

---

Below is LiHoMg after structural relaxation, with properties calculated at the PBE level.

As for the density: 4.40 g/cm3. The total magnetization is 0.000 μB per formula unit. The relative energy among the computed polymorphs comes out at 64.1 meV/atom.

The structure belongs to space group P3m1 (No. 156); the cell edges are 5.1634, 5.1634 and 3.2061 Å and the angles 90.00°, 90.00° and 120.00°. The distinct sites, in fractional coordinates, are Li at (0.0000, 0.0000, 0.0000), Ho at (0.6667, 0.3333, 0.5017) and Mg at (0.3333, 0.6667, 0.0020).

---

Below is Li2HoMg3 after structural relaxation, with properties calculated at the PBE level.

As for the density: 3.07 g/cm3. The total magnetization is 0.079 μB per formula unit. For the uncorrected energy, the calculation gives -2.25 eV per atom.

The structure belongs to space group P4/mmm (No. 123); the cell edges are 3.476, 3.476 and 11.265 Å and the angles 90.00°, 90.00° and 90.00°. The distinct sites, in fractional coordinates, are Li at (0.000, 0.000, 0.153), Ho at (0.000, 0.000, 0.500), Mg at (0.500, 0.500, 0.000) and Mg at (0.500, 0.500, 0.299).

---

Below is Li2HoMg after structural relaxation, with properties calculated at the PBE level.

As for the density: 3.49 g/cm3. The total magnetization is 0.000 μB per formula unit. The relative energy among the computed polymorphs comes out at 33.0 meV/atom.

The structure belongs to space group R3m (No. 160, hexagonal axes); the cell edges are 3.2746, 3.2746 and 31.2526 Å and the angles 90.00°, 90.00° and 120.00°. The distinct sites, in fractional coordinates, are Li at (0.0000, 0.0000, 0.0000), Li at (0.0000, 0.0000, 0.1764), Ho at (0.0000, 0.0000, 0.7551) and Mg at (0.0000, 0.0000, 0.5879).

---

Below is LiHo2Mg6 after structural relaxation, with properties calculated at the PBE level.

As for the density: 3.52 g/cm3. The total magnetization is 0.000 μB per formula unit. The relative energy among the computed polymorphs comes out at 45.8 meV/atom.

The structure belongs to space group C2/m (No. 12); the cell edges are 8.327, 8.946 and 6.146 Å and the angles 90.00°, 95.39° and 90.00°. The distinct sites, in fractional coordinates, are Li at (0.000, 0.000, 0.000), Ho at (0.165, 0.500, 0.664), Mg at (0.000, 0.167, 0.500) and Mg at (0.167, 0.334, 0.166).

---

Below is LiHo4Mg5 after structural relaxation, with properties calculated at the PBE level.

As for the density: 5.06 g/cm3. The total magnetization is 0.000 μB per formula unit. For the uncorrected energy, the calculation gives -2.88 eV per atom.

The structure belongs to space group P4/mmm (No. 123); the cell edges are 3.699, 3.699 and 18.910 Å and the angles 90.00°, 90.00° and 90.00°. The distinct sites, in fractional coordinates, are Li at (0.000, 0.000, 0.000), Ho at (0.000, 0.000, 0.196), Ho at (0.000, 0.000, 0.397), Mg at (0.500, 0.500, 0.087), Mg at (0.500, 0.500, 0.296) and Mg at (0.500, 0.500, 0.500).

---

Below is LiHo5Mg6 after structural relaxation, with properties calculated at the PBE level.

As for the density: 5.16 g/cm3. The total magnetization is 0.001 μB per formula unit. For the uncorrected energy, the calculation gives -2.91 eV per atom.

The structure belongs to space group C2/m (No. 12); the cell edges are 16.742, 7.475 and 5.290 Å and the angles 90.00°, 108.22° and 90.00°. The distinct sites, in fractional coordinates, are Li at (0.000, 0.000, 0.000), Ho at (0.000, 0.500, 0.000), Ho at (0.164, 0.500, 0.666), Ho at (0.182, 0.000, 0.684), Mg at (0.000, 0.224, 0.500) and Mg at (0.156, 0.229, 0.159).

---

Below is LiHo2Mg7 after structural relaxation, with properties calculated at the PBE level.

As for the density: 3.33 g/cm3. The total magnetization is 0.000 μB per formula unit. For the uncorrected energy, the calculation gives -1.95 eV per atom.

The structure belongs to space group Fm-3m (No. 225); the cell edges are 10.034, 10.034 and 10.034 Å and the angles 90.00°, 90.00° and 90.00°. The distinct sites, in fractional coordinates, are Li at (0.000, 0.000, 0.000), Ho at (0.250, 0.250, 0.250), Mg at (0.000, 0.000, 0.238) and Mg at (0.000, 0.000, 0.500).

---

Below is LiHo2Mg after structural relaxation, with properties calculated at the PBE level.

As for the density: 5.73 g/cm3. The total magnetization is 0.002 μB per formula unit. The relative energy among the computed polymorphs comes out at 13.8 meV/atom.

The structure belongs to space group Fm-3m (No. 225); the cell edges are 7.480, 7.480 and 7.480 Å and the angles 90.00°, 90.00° and 90.00°. The distinct sites, in fractional coordinates, are Li at (0.000, 0.000, 0.000), Ho at (0.250, 0.250, 0.250) and Mg at (0.000, 0.000, 0.500).